1.
DFT (PBE) results for a relaxed structure of Pr10Tl3Bi3.

It has space group P-62m (No. 189), with a = 9.4918 Å, b = 9.4918 Å, c = 6.8601 Å, α = 90.00°, β = 90.00° and γ = 120.00°. The distinct sites, in fractional coordinates, are Pr at (0.0000, 0.2406, 0.0000), Pr at (0.0000, 0.7611, 0.5000), Pr at (0.3333, 0.6667, 0.2503), Tl at (0.0000, 0.3950, 0.5000) and Bi at (0.0000, 0.6088, 0.0000).

For the energy relative to the elements, the calculation gives -51.52 kJ per mole of atoms. As for the calculated volume: 33.45 Å³ per atom.



2.
DFT (PBE) results for a relaxed structure of Pr6TlBi.

It has space group P4/mmm (No. 123), with a = 5.053 Å, b = 5.053 Å, c = 9.999 Å, α = 90.00°, β = 90.00° and γ = 90.00°. The distinct sites, in fractional coordinates, are Pr at (0.000, 0.000, 0.000), Pr at (0.000, 0.000, 0.500), Pr at (0.000, 0.500, 0.249), Tl at (0.500, 0.500, 0.500) and Bi at (0.500, 0.500, 0.000).

For the energy relative to the elements, the calculation gives -32.22 kJ per mole of atoms. As for the calculated volume: 31.91 Å³ per atom.



3.
DFT (PBE) results for a relaxed structure of Pr5TlBi3.

It has space group P6_3/mcm (No. 193), with a = 9.8918 Å, b = 9.8918 Å, c = 6.7064 Å, α = 90.00°, β = 90.00° and γ = 120.00°. The distinct sites, in fractional coordinates, are Pr at (0.0000, 0.2731, 0.2500), Pr at (0.3333, 0.6667, 0.0000), Tl at (0.0000, 0.0000, 0.0000) and Bi at (0.0000, 0.3811, 0.7500).

For the energy relative to the elements, the calculation gives -71.47 kJ per mole of atoms. As for the calculated volume: 31.57 Å³ per atom.